[1]
{"formula": "MgBe2W", "functional": "PBE", "state": "relaxed", "cell": [[4.605, -1.338, 0.000], [4.605, 1.338, 0.000], [-1.425, 0.000, 4.173]], "species": ["Mg", "Be", "Be", "W"], "frac_coords": [[0.000, 0.000, 0.000], [0.244, 0.244, 0.826], [0.545, 0.545, 0.515], [0.786, 0.786, 0.360]], "ef_ev_per_atom": 0.284}

[2]
{"formula": "CeNd2TmSe4", "functional": "PBE", "state": "relaxed", "cell": [[7.236, 0.000, 0.000], [0.000, 4.131, 0.000], [-2.353, 0.000, 6.866]], "species": ["Ce", "Nd", "Nd", "Tm", "Se", "Se", "Se", "Se"], "frac_coords": [[0.000, 0.000, 0.000], [0.500, 0.000, 0.500], [0.500, 0.500, 0.000], [0.000, 0.500, 0.500], [0.235, 0.000, 0.737], [0.241, 0.500, 0.255], [0.759, 0.500, 0.745], [0.765, 0.000, 0.263]], "raw_formation_energy_kcal_per_mol_atoms": -41.3}

[3]
{"formula": "Tm3Tl2Hg2", "functional": "PBE", "state": "relaxed", "cell": [[5.059, 0.000, 0.000], [-2.483, 4.528, 0.000], [-0.553, -2.206, 8.376]], "species": ["Tm", "Tm", "Tm", "Tl", "Tl", "Hg", "Hg"], "frac_coords": [[0.000, 0.000, 0.000], [0.238, 0.540, 0.711], [0.762, 0.460, 0.289], [0.383, 0.733, 0.145], [0.617, 0.267, 0.855], [0.126, 0.160, 0.370], [0.874, 0.840, 0.630]], "ef_ev_per_atom": -0.278}

[4]
{"formula": "Y2GaAu", "functional": "PBE", "state": "relaxed", "cell": [[3.556, 0.000, 0.000], [0.000, 3.556, 0.000], [0.000, 0.000, 7.400]], "species": ["Y", "Y", "Ga", "Au"], "frac_coords": [[0.000, 0.000, 0.248], [0.000, 0.000, 0.752], [0.500, 0.500, 0.500], [0.500, 0.500, 0.000]], "ef_ev_per_atom": -0.732}

Listing final energy for the structures above in their given order: -20.9; -48.2; -20.7; -22.2 eV/f.u..